(1)
Density functional theory data (PBE) for a relaxed structure of K2NaTcF6.

Computed properties:
Energy relative to the lowest polymorph listed for this composition: 23.6 meV/atom
Total magnetization: 0.20 μB per atom
Density: 3.7 g cm⁻³

abc: 5.812 5.812 5.815
angles: 119.99 119.99 60.18
Last column: magnetic moment on the atom in μB.
Positions (direct):
F (0.756, 0.756, 0.256)  0.04
F (0.757, 0.245, 0.256)  0.03
F (0.245, 0.757, 0.256)  0.04
F (0.755, 0.243, 0.744)  0.04
F (0.243, 0.755, 0.744)  0.03
F (0.244, 0.244, 0.744)  0.04
K (0.250, 0.250, 0.250)  0.00
K (0.750, 0.750, 0.750)  0.00
Na (0.500, 0.500, 0.000)  0.00
Tc (0.000, 0.000, 0.500)  1.65



(2)
Density functional theory data (PBE) for a relaxed structure of NdHo2Cd3CuAu2.

Computed properties:
Total magnetization: 0.00 μB per atom
Energy of formation: -0.56 eV/atom
Density: 10.4 g cm⁻³

abc: 3.884 7.774 7.774
angles: 120.47 90.00 90.00
Positions (direct):
Au (0.500, 0.668, 0.327)
Au (0.500, 0.327, 0.668)
Cd (0.500, 0.755, 0.003)
Cd (0.500, 0.244, 0.244)
Cd (0.500, 0.003, 0.755)
Cu (0.000, 0.002, 0.002)
Ho (0.000, 0.406, 0.000)
Ho (0.000, 0.000, 0.406)
Nd (0.000, 0.594, 0.594)